The following is a PBE calculation of an optimized crystal structure of CsErCuS2, from Alexandria via LeMat-Bulk.

Cell and atoms, written as POSCAR:
```
CsErCuS2
1.0
4.724 0.000 0.000
0.000 8.031 0.598
0.000 -1.874 7.571
Cs Er Cu S
2 2 2 4
direct
0.172 0.500 0.750
0.828 0.500 0.250
0.495 0.000 0.250
0.505 0.000 0.750
0.000 0.000 0.000
0.000 0.000 0.500
0.677 0.793 0.965
0.677 0.207 0.535
0.323 0.793 0.465
0.323 0.207 0.035
```

Results
As for the space group: P2/c (13). As for the density: 4857 kg/m³. As for the uncorrected formation energy: -1.10 eV/atom. The calculation puts the magnetization at 0.00 μB per atom. Its final energy is -4.651 eV/atom.